Below is crystalline Ru2RhSe at its relaxed geometry, with properties calculated at the PBE level.

Raw formation energy (eV per atom): 0.2548

Cell: 2.852 3.713 5.610 Å, 90.00 90.00 90.00°
Space group Pmm2 (No. 25)
Asymmetric unit:
Ru 0.000 0.000 0.000 [1 per cell]
Ru 0.500 0.500 0.216 [1 per cell]
Rh 0.500 0.500 0.743 [1 per cell]
Se 0.000 0.000 0.488 [1 per cell]